[1]
# Pu2RePd

Pu2RePd after structural relaxation (GGA-PBE, the Alexandria database).

Output
Energy of formation ... -0.07 eV/atom

Unit cell a=3.252 b=3.252 c=7.672 alpha=90.00 beta=90.00 gamma=90.00
Element x y z (fractional)
Pu: 0.000 0.000 0.235
Pu: 0.000 0.000 0.765
Re: 0.500 0.500 0.000
Pd: 0.500 0.500 0.500



[2]
# Sr2ReHg

Sr2ReHg after structural relaxation (GGA-PBE, the Alexandria database).

Output
Energy of formation ... 0.59 eV/atom

Unit cell a=6.667 b=6.667 c=6.667 alpha=148.83 beta=131.93 gamma=58.41
Element x y z (fractional)
Sr: 0.000 0.000 0.000
Sr: 0.698 0.198 0.500
Re: 0.454 0.454 0.000
Hg: 0.271 0.771 0.500



[3]
# Sc3HgO

Sc3HgO after structural relaxation (GGA-PBE, the Alexandria database).

Output
E above lowest polymorph ... 1.39 eV/f.u.
Energy relative to the elements, uncorrected ... -1.21 eV per atom

Unit cell a=3.548 b=3.548 c=18.598 alpha=90.00 beta=90.00 gamma=120.00
Element x y z (fractional)
Sc: 0.000 0.000 0.250
Sc: 0.000 0.000 0.750
Sc: 0.333 0.667 0.119
Sc: 0.333 0.667 0.381
Sc: 0.667 0.333 0.619
Sc: 0.667 0.333 0.881
Hg: 0.000 0.000 0.000
Hg: 0.000 0.000 0.500
O: 0.333 0.667 0.250
O: 0.667 0.333 0.750



[4]
# LiTi2Ga3

LiTi2Ga3 after structural relaxation (GGA-PBE, the Alexandria database).

Output
E above lowest polymorph ... 0.45 eV/f.u.
Energy of formation ... -0.32 eV/atom

Unit cell a=7.535 b=7.535 c=5.142 alpha=101.90 beta=101.90 gamma=42.00
Element x y z (fractional)
Li: 0.118 0.882 0.750
Li: 0.882 0.118 0.250
Ti: 0.207 0.445 0.413
Ti: 0.445 0.207 0.913
Ti: 0.555 0.793 0.087
Ti: 0.793 0.555 0.587
Ga: 0.038 0.281 0.047
Ga: 0.281 0.038 0.547
Ga: 0.399 0.601 0.250
Ga: 0.601 0.399 0.750
Ga: 0.719 0.962 0.453
Ga: 0.962 0.719 0.953



[5]
# UPaVOs

UPaVOs after structural relaxation (GGA-PBE, the Alexandria database).

Output
Energy of formation ... 0.03 eV/atom

Unit cell a=4.679 b=4.679 c=4.679 alpha=60.00 beta=60.00 gamma=60.00
Element x y z (fractional)
U: 0.000 0.000 0.000
Pa: 0.750 0.750 0.750
V: 0.250 0.250 0.250
Os: 0.500 0.500 0.500



[6]
# VCr2BiPt

VCr2BiPt after structural relaxation (GGA-PBE, the Alexandria database).

Output
Energy of formation ... 2.29 eV/atom

Unit cell a=4.816 b=4.816 c=4.949 alpha=90.00 beta=90.00 gamma=90.00
Element x y z (fractional)
V: 0.000 0.000 0.000
Cr: 0.000 0.500 0.500
Cr: 0.500 0.000 0.500
Bi: 0.500 0.500 0.500
Pt: 0.500 0.500 0.000



[7]
# MgMnNi2H

MgMnNi2H after structural relaxation (GGA-PBE, the Alexandria database).

Output
Raw total energy ... -26.06 eV per cell

Unit cell a=3.786 b=3.786 c=3.738 alpha=90.00 beta=90.00 gamma=90.00
Element x y z (fractional)
Mg: 0.000 0.000 0.000
Mn: 0.500 0.500 0.000
Ni: 0.000 0.500 0.500
Ni: 0.500 0.000 0.500
H: 0.500 0.500 0.500



[8]
# Ho5U3N8

Ho5U3N8 after structural relaxation (GGA-PBE, the Alexandria database).

Output
Energy relative to the elements, uncorrected ... -1.58 eV per atom

Unit cell a=6.896 b=6.896 c=6.896 alpha=59.72 beta=59.72 gamma=59.72
Element x y z (fractional)
Ho: 0.000 0.000 0.000
Ho: 0.000 0.500 0.500
Ho: 0.500 0.000 0.500
Ho: 0.500 0.500 0.000
Ho: 0.500 0.500 0.500
U: 0.000 0.000 0.500
U: 0.000 0.500 0.000
U: 0.500 0.000 0.000
N: 0.238 0.750 0.750
N: 0.248 0.248 0.248
N: 0.250 0.250 0.762
N: 0.250 0.762 0.250
N: 0.750 0.238 0.750
N: 0.750 0.750 0.238
N: 0.752 0.752 0.752
N: 0.762 0.250 0.250



[9]
# Li3TaB

Li3TaB after structural relaxation (GGA-PBE, the Alexandria database).

Output
E above lowest polymorph ... 0.00 eV/f.u.
Energy of formation ... 0.98 eV/atom

Unit cell a=3.977 b=3.977 c=3.977 alpha=90.00 beta=90.00 gamma=90.00
Element x y z (fractional)
Li: 0.000 0.000 0.500
Li: 0.000 0.500 0.000
Li: 0.500 0.000 0.000
Ta: 0.500 0.500 0.500
B: 0.000 0.000 0.000



[10]
# AgGeNF2

AgGeNF2 after structural relaxation (GGA-PBE, the Alexandria database).

Output
E above lowest polymorph ... 0.00 eV/f.u.
Energy relative to the elements, uncorrected ... -0.60 eV per atom

Unit cell a=4.240 b=4.240 c=3.484 alpha=90.00 beta=90.00 gamma=90.00
Element x y z (fractional)
Ag: 0.000 0.000 0.000
Ge: 0.500 0.500 0.500
N: 0.500 0.500 0.000
F: 0.000 0.500 0.500
F: 0.500 0.000 0.500



[11]
# TbPuPt2

TbPuPt2 after structural relaxation (GGA-PBE, the Alexandria database).

Output
E above lowest polymorph ... 0.35 eV/f.u.
Energy of formation ... -0.94 eV/atom

Unit cell a=4.968 b=4.968 c=4.968 alpha=60.00 beta=60.00 gamma=60.00
Element x y z (fractional)
Tb: 0.000 0.000 0.000
Pu: 0.500 0.500 0.500
Pt: 0.250 0.250 0.250
Pt: 0.750 0.750 0.750



[12]
# Np3Ge4Rh4

Np3Ge4Rh4 after structural relaxation (GGA-PBE, the Alexandria database).

Output
Energy of formation ... -0.42 eV/atom

Unit cell a=8.237 b=6.301 c=6.301 alpha=37.92 beta=90.00 gamma=90.00
Element x y z (fractional)
Np: 0.000 0.000 0.000
Np: 0.251 0.116 0.116
Np: 0.749 0.116 0.116
Ge: 0.000 0.687 0.687
Ge: 0.257 0.434 0.434
Ge: 0.500 0.685 0.685
Ge: 0.743 0.434 0.434
Rh: 0.000 0.315 0.315
Rh: 0.251 0.811 0.811
Rh: 0.500 0.304 0.304
Rh: 0.749 0.811 0.811